[1]
Material: LaCdPd
Method: DFT, GGA-PBE
State: optimized geometry

Results
- Calculated formation energy: -605.5 meV/atom
- Space-group type: No. 186
- Total energy: -4.270 eV per atom

```
data_LaCdPd
_chemical_formula_sum 'La2 Cd2 Pd2'
_cell_length_a 4.8147
_cell_length_b 4.8147
_cell_length_c 7.2671
_cell_angle_alpha 90.00
_cell_angle_beta 90.00
_cell_angle_gamma 120.00
_symmetry_space_group_name_H-M 'P 1'
_symmetry_Int_Tables_number 1
_symmetry_space_group_name_Hall 'P 1'
loop_
_atom_site_label
_atom_site_type_symbol
_atom_site_fract_x
_atom_site_fract_y
_atom_site_fract_z
Cd1 Cd 0.3333 0.6667 0.4933
Cd2 Cd 0.6667 0.3333 0.9933
La1 La 0.0000 0.0000 0.2483
La2 La 0.0000 0.0000 0.7483
Pd1 Pd 0.3333 0.6667 0.0084
Pd2 Pd 0.6667 0.3333 0.5084
```


[2]
Material: La2Cd4PdPt
Method: DFT, GGA-PBE
State: optimized geometry

Results
- Calculated formation energy: -653.5 meV/atom
- Space-group type: No. 38
- Total energy: -3.736 eV per atom

```
data_La2Cd4PdPt
_chemical_formula_sum 'La2 Cd4 Pd1 Pt1'
_cell_length_a 8.5511
_cell_length_b 5.5172
_cell_length_c 5.5172
_cell_angle_alpha 46.29
_cell_angle_beta 90.00
_cell_angle_gamma 90.00
_symmetry_space_group_name_H-M 'P 1'
_symmetry_Int_Tables_number 1
_symmetry_space_group_name_Hall 'P 1'
loop_
_atom_site_label
_atom_site_type_symbol
_atom_site_fract_x
_atom_site_fract_y
_atom_site_fract_z
Cd1 Cd 0.2973 0.1444 0.1444
Cd2 Cd 0.7027 0.1444 0.1444
Cd3 Cd 0.1997 0.8563 0.8563
Cd4 Cd 0.8003 0.8563 0.8563
La1 La 0.5000 0.4331 0.4331
La2 La 0.0000 0.5640 0.5640
Pd1 Pd 0.0000 0.2787 0.2787
Pt1 Pt 0.5000 0.7227 0.7227
```


[3]
Material: LaPrCd6
Method: DFT, GGA-PBE
State: optimized geometry

Results
- Calculated formation energy: -317.5 meV/atom
- Space-group type: No. 38
- Total energy: -2.201 eV per atom
- E above lowest polymorph: 1.5 kJ/mol of atoms

```
data_LaPrCd6
_chemical_formula_sum 'La1 Pr1 Cd6'
_cell_length_a 4.9471
_cell_length_b 6.6831
_cell_length_c 6.6831
_cell_angle_alpha 65.36
_cell_angle_beta 90.00
_cell_angle_gamma 90.00
_symmetry_space_group_name_H-M 'P 1'
_symmetry_Int_Tables_number 1
_symmetry_space_group_name_Hall 'P 1'
loop_
_atom_site_label
_atom_site_type_symbol
_atom_site_fract_x
_atom_site_fract_y
_atom_site_fract_z
Cd1 Cd 0.0000 0.6225 0.1962
Cd2 Cd 0.5000 0.3312 0.3312
Cd3 Cd 0.5000 0.8024 0.3776
Cd4 Cd 0.0000 0.1962 0.6225
Cd5 Cd 0.0000 0.6709 0.6709
Cd6 Cd 0.5000 0.3776 0.8024
La1 La 0.0000 0.1427 0.1427
Pr1 Pr 0.5000 0.8564 0.8564
```


[4]
Material: LaPrCd6
Method: DFT, GGA-PBE
State: optimized geometry

Results
- Calculated formation energy: -326.6 meV/atom
- Space-group type: No. 187
- Total energy: -2.210 eV per atom
- E above lowest polymorph: 0.6 kJ/mol of atoms

```
data_LaPrCd6
_chemical_formula_sum 'La1 Pr1 Cd6'
_cell_length_a 6.8229
_cell_length_b 6.8229
_cell_length_c 5.0457
_cell_angle_alpha 90.00
_cell_angle_beta 90.00
_cell_angle_gamma 120.00
_symmetry_space_group_name_H-M 'P 1'
_symmetry_Int_Tables_number 1
_symmetry_space_group_name_Hall 'P 1'
loop_
_atom_site_label
_atom_site_type_symbol
_atom_site_fract_x
_atom_site_fract_y
_atom_site_fract_z
Cd1 Cd 0.5078 0.0156 0.0000
Cd2 Cd 0.5078 0.4922 0.0000
Cd3 Cd 0.9844 0.4922 0.0000
Cd4 Cd 0.3518 0.1759 0.5000
Cd5 Cd 0.8241 0.1759 0.5000
Cd6 Cd 0.8241 0.6482 0.5000
La1 La 0.0000 0.0000 0.0000
Pr1 Pr 0.3333 0.6667 0.5000
```